[1]
# TmMnPd6

A relaxed structure of TmMnPd6 (PBE, Alexandria via LeMat-Bulk).

Geometry as extended XYZ:
```
8
Lattice="4.0206 0.0000 0.0000 0.0000 4.0206 0.0000 0.0000 0.0000 7.9927" Properties=species:S:1:pos:R:3 pbc="T T T"
Pd 0.0000 2.0103 2.0883
Pd 2.0103 0.0000 2.0883
Pd 2.0103 2.0103 0.0000
Pd 0.0000 2.0103 5.9044
Pd 2.0103 0.0000 5.9044
Pd 2.0103 2.0103 3.9963
Mn 0.0000 0.0000 3.9963
Tm 0.0000 0.0000 0.0000
```

## Properties
- symmetry = P4/mmm (123)
- density of states at the Fermi level (states/eV per atom) = 1.171
- ΔH_f (0 K) (meV per atom) = -544
- total energy (eV per atom) = -6.144
- spin magnetization (μB/cell) = 4.172

---

[2]
# TmMnPd6

A relaxed structure of TmMnPd6 (PBE, Alexandria via LeMat-Bulk).

Geometry as extended XYZ:
```
8
Lattice="-2.9800 0.5279 -3.8156 1.3422 -2.6041 -3.8904 -4.2492 -5.8622 -0.0803" Properties=species:S:1:pos:R:3 pbc="T T T"
Pd -5.1864 -4.8145 -5.3860
Pd -2.8044 -1.5995 -2.3638
Pd -1.3234 -1.7078 -4.9615
Pd -3.0827 -6.3389 -5.4224
Pd -0.7007 -3.1238 -2.4002
Pd -4.5637 -6.2305 -2.8248
Tm -2.9435 -3.9692 -3.8931
Mn 0.0000 0.0000 0.0000
```

## Properties
- symmetry = C2/m (12)
- density of states at the Fermi level (states/eV per atom) = 0.602
- ΔH_f (0 K) (meV per atom) = -223
- total energy (eV per atom) = -5.822
- spin magnetization (μB/cell) = 4.604

---

[3]
# Tm2MnPd6

A relaxed structure of Tm2MnPd6 (PBE, Alexandria via LeMat-Bulk).

Geometry as extended XYZ:
```
9
Lattice="3.1388 0.0000 -0.4945 0.0000 7.3186 0.0000 -2.0395 -3.6593 7.4896" Properties=species:S:1:pos:R:3 pbc="T T T"
Pd 0.7568 2.2614 4.8096
Pd 0.3425 1.3979 2.1854
Pd 0.7568 -2.2614 4.8096
Pd 0.3425 5.9207 2.1854
Pd 1.5694 5.1071 -0.2473
Pd 1.5694 2.2115 -0.2473
Tm 1.9877 3.6593 2.4205
Tm -0.8885 0.0000 4.5746
Mn 0.0000 0.0000 0.0000
```

## Properties
- symmetry = Cmmm (65)
- density of states at the Fermi level (states/eV per atom) = 0.494
- ΔH_f (0 K) (meV per atom) = -498
- total energy (eV per atom) = -5.972
- spin magnetization (μB/cell) = 4.579

---

[4]
# Tm2MnPd8

A relaxed structure of Tm2MnPd8 (PBE, Alexandria via LeMat-Bulk).

Geometry as extended XYZ:
```
11
Lattice="-0.1379 -1.7397 -4.1605 -3.7983 -4.4007 1.9661 -3.4975 7.0304 -0.3775" Properties=species:S:1:pos:R:3 pbc="T T T"
Pd -5.5663 -0.4521 -2.0727
Pd -4.3242 -3.0017 -1.0478
Pd -2.8061 -3.2191 1.4391
Pd -4.8759 1.9272 -0.6442
Pd -1.8675 1.3421 -0.4993
Pd -2.5578 -1.0373 -1.9277
Pd -3.1095 3.8917 -1.5242
Pd -4.6276 4.1091 -4.0111
Mn -0.0690 -0.8699 -2.0803
Tm -3.3976 1.5199 -2.9692
Tm -4.0361 -0.6300 0.3973
```

## Properties
- symmetry = C2/m (12)
- density of states at the Fermi level (states/eV per atom) = 0.383
- ΔH_f (0 K) (meV per atom) = -558
- total energy (eV per atom) = -5.981
- spin magnetization (μB/cell) = 4.479

---

[5]
# TmMnPd2

A relaxed structure of TmMnPd2 (PBE, Alexandria via LeMat-Bulk).

Geometry as extended XYZ:
```
4
Lattice="3.3283 0.0000 0.0000 0.0000 3.3283 0.0000 0.0000 0.0000 6.4558" Properties=species:S:1:pos:R:3 pbc="T T T"
Pd 0.0000 0.0000 1.4678
Pd 0.0000 0.0000 4.9880
Tm 1.6641 1.6641 3.2279
Mn 1.6641 1.6641 0.0000
```

## Properties
- symmetry = P4/mmm (123)
- density of states at the Fermi level (states/eV per atom) = 0.312
- ΔH_f (0 K) (meV per atom) = -551
- total energy (eV per atom) = -6.558
- spin magnetization (μB/cell) = 4.553

---

[6]
# TmMn2Pd8

A relaxed structure of TmMn2Pd8 (PBE, Alexandria via LeMat-Bulk).

Geometry as extended XYZ:
```
11
Lattice="-0.0832 -0.4459 -4.0361 6.3238 -0.5216 -0.0728 -2.5241 -6.3687 2.7992" Properties=species:S:1:pos:R:3 pbc="T T T"
Pd -0.6192 -6.3622 -1.3279
Pd 3.1839 -5.3207 -1.5214
Pd 4.8216 -3.1105 -1.7993
Pd 4.3358 -0.9740 0.0182
Pd 1.3163 -5.5634 0.5875
Pd 0.5327 -2.0155 0.2117
Pd -1.1051 -4.2257 0.4896
Pd 2.4003 -1.7727 -1.8972
Tm -0.0416 -0.2229 -2.0180
Mn 2.9709 -3.3078 0.3042
Mn 0.7457 -4.0284 -1.6139
```

## Properties
- symmetry = C2/m (12)
- density of states at the Fermi level (states/eV per atom) = 0.426
- ΔH_f (0 K) (meV per atom) = -435
- total energy (eV per atom) = -6.285
- spin magnetization (μB/cell) = 9.247

---

[7]
# Tm4MnPd15

A relaxed structure of Tm4MnPd15 (PBE, Alexandria via LeMat-Bulk).

Geometry as extended XYZ:
```
20
Lattice="-1.4852 1.7152 3.3685 2.1252 -2.6141 2.2681 15.6049 12.9395 0.2916" Properties=species:S:1:pos:R:3 pbc="T T T"
Pd 3.3520 2.0646 2.8750
Pd 0.3200 -0.4495 2.8183
Pd 2.5064 -0.1099 1.1610
Pd 10.2408 9.9650 1.8895
Pd 12.0460 7.8003 1.3393
Pd 5.6841 2.5250 1.2204
Pd 9.7180 7.3433 2.9939
Pd 7.0599 7.3273 1.8301
Pd 8.8651 5.1627 1.2799
Pd 15.2238 10.4353 1.3987
Pd 12.8930 9.9759 3.0533
Pd 0.7012 2.0547 1.7112
Pd 3.8789 4.6897 1.7706
Pd 6.5270 4.6973 2.9343
Pd 13.4186 12.5999 1.9489
Tm 3.0418 2.5222 0.0568
Tm 12.5632 10.4173 0.2348
Tm 9.3875 7.7841 0.1754
Tm 6.2174 5.1554 0.1162
Mn 0.0000 0.0000 0.0000
```

## Properties
- symmetry = P4/mmm (123)
- density of states at the Fermi level (states/eV per atom) = 0.787
- ΔH_f (0 K) (meV per atom) = -768
- total energy (eV per atom) = -6.015
- spin magnetization (μB/cell) = 4.107

---

[8]
# TmMnPd2

A relaxed structure of TmMnPd2 (PBE, Alexandria via LeMat-Bulk).

Geometry as extended XYZ:
```
4
Lattice="3.8023 0.0000 0.0000 0.0000 4.2786 0.0000 0.0000 0.0000 4.2786" Properties=species:S:1:pos:R:3 pbc="T T T"
Pd 0.0000 2.1393 0.0000
Pd 0.0000 0.0000 2.1393
Tm 1.9012 2.1393 2.1393
Mn 1.9012 0.0000 0.0000
```

## Properties
- symmetry = P4/mmm (123)
- density of states at the Fermi level (states/eV per atom) = 0.677
- ΔH_f (0 K) (meV per atom) = -582
- total energy (eV per atom) = -6.588
- spin magnetization (μB/cell) = 3.775

---

Question: spin magnetization of number 5 (TmMnPd2)?
Answer: 4.553 μB/cell

---

Question: What is the ΔH_f (0 K) in the eighth record?
Answer: -582 meV per atom